1.
Crystalline ErAlAg2 at its relaxed geometry. Source: Alexandria, functional PBE.

Geometry as CIF:
```
data_ErAlAg2
_chemical_formula_sum 'Er4 Al4 Ag8'
_cell_length_a 6.799
_cell_length_b 6.799
_cell_length_c 6.799
_cell_angle_alpha 90.00
_cell_angle_beta 90.00
_cell_angle_gamma 90.00
_symmetry_space_group_name_H-M 'F m -3 m'
_symmetry_Int_Tables_number 225
_symmetry_space_group_name_Hall '-F 4 2 3'
loop_
_atom_site_label
_atom_site_type_symbol
_atom_site_fract_x
_atom_site_fract_y
_atom_site_fract_z
Er1 Er 0.000 0.000 0.000
Al1 Al 0.000 0.000 0.500
Ag1 Ag 0.250 0.250 0.250
```

Properties
DFT formation energy, eV/atom: -0.327
Density of states at the Fermi level, states/eV per atom: 0.654

=====

2.
Crystalline LaSm2Hg6 at its relaxed geometry. Source: Alexandria, functional PBE.

Geometry as CIF:
```
data_LaSm2Hg6
_chemical_formula_sum 'La1 Sm2 Hg6'
_cell_length_a 8.7465
_cell_length_b 8.7465
_cell_length_c 3.5008
_cell_angle_alpha 90.00
_cell_angle_beta 90.00
_cell_angle_gamma 120.00
_symmetry_space_group_name_H-M 'P 6/m m m'
_symmetry_Int_Tables_number 191
_symmetry_space_group_name_Hall '-P 6 2'
loop_
_atom_site_label
_atom_site_type_symbol
_atom_site_fract_x
_atom_site_fract_y
_atom_site_fract_z
La1 La 0.0000 0.0000 0.0000
Sm1 Sm 0.3333 0.6667 0.0000
Hg1 Hg 0.0000 0.3355 0.5000
```

Properties
DFT formation energy, eV/atom: -0.438
Density of states at the Fermi level, states/eV per atom: 0.796

=====

3.
Crystalline NbBSb2I at its relaxed geometry. Source: Alexandria, functional PBE.

Geometry as CIF:
```
data_NbBSb2I
_chemical_formula_sum 'Nb1 B1 Sb2 I1'
_cell_length_a 5.316
_cell_length_b 5.316
_cell_length_c 5.838
_cell_angle_alpha 90.00
_cell_angle_beta 90.00
_cell_angle_gamma 90.00
_symmetry_space_group_name_H-M 'P 4/m m m'
_symmetry_Int_Tables_number 123
_symmetry_space_group_name_Hall '-P 4 2'
loop_
_atom_site_label
_atom_site_type_symbol
_atom_site_fract_x
_atom_site_fract_y
_atom_site_fract_z
Nb1 Nb 0.000 0.000 0.000
B1 B 0.500 0.500 0.500
Sb1 Sb 0.000 0.500 0.000
I1 I 0.000 0.000 0.500
```

Properties
Energy relative to the lowest polymorph listed for this composition, meV per atom: 178.5
Formation energy from raw total energies, eV/atom: 1.2844
Density of states at the Fermi level, states/eV per atom: 0.806

=====

4.
Crystalline NdGdN at its relaxed geometry. Source: Alexandria, functional PBE.

Geometry as CIF:
```
data_NdGdN
_chemical_formula_sum 'Nd1 Gd1 N1'
_cell_length_a 3.5883
_cell_length_b 3.5883
_cell_length_c 6.2463
_cell_angle_alpha 90.00
_cell_angle_beta 90.00
_cell_angle_gamma 120.00
_symmetry_space_group_name_H-M 'P 3 m 1'
_symmetry_Int_Tables_number 156
loop_
_symmetry_equiv_pos_as_xyz
'x,y,z'
'-y,x-y,z'
'-x+y,-x,z'
'-y,-x,z'
'-x+y,y,z'
'x,x-y,z'
loop_
_atom_site_label
_atom_site_type_symbol
_atom_site_fract_x
_atom_site_fract_y
_atom_site_fract_z
Nd1 Nd 0.0000 0.0000 0.0000
Gd1 Gd 0.3333 0.6667 0.4398
N1 N 0.6667 0.3333 0.2397
```

Properties
Energy relative to the lowest polymorph listed for this composition, meV per atom: 0.0
Formation energy from raw total energies, eV/atom: -0.9307
Density of states at the Fermi level, states/eV per atom: 0.710